1.
Computed, not measured: Pa4Sb3Te4 after structural relaxation at the PBE level of DFT.

Cell and atoms, written as extended XYZ:
```
11
Lattice="-2.0087 4.4775 8.9310 2.0087 -4.4775 8.9310 2.0087 4.4775 -8.9310" Properties=species:S:1:pos:R:3 pbc="T T T"
Pa 0.0000 1.9694 0.0000
Pa 0.0000 0.0000 4.1883
Pa 0.0000 0.0000 13.6737
Pa 0.0000 6.9857 0.0000
Sb 2.0087 0.0000 1.6630
Sb 0.0000 0.0000 8.9310
Sb 0.0000 4.4775 7.2680
Te 2.0087 -1.6688 5.9548
Te 0.0000 2.8088 2.9762
Te 2.0087 1.6688 5.9548
Te 0.0000 6.1463 2.9762
```

Results
- formation energy (no corrections) (eV/atom) = -0.6266
- symmetry = Immm
- M_tot (μB per formula unit) = 2.3
- volume (Å³ per atom) = 29.2
- final energy (eV per atom) = -6.346



2.
Computed, not measured: CsBe2CrBr8 after structural relaxation at the PBE level of DFT.

Cell and atoms, written as extended XYZ:
```
12
Lattice="3.1920 1.8429 10.6013 -3.1920 1.8429 10.6013 0.0000 -3.6858 10.6013" Properties=species:S:1:pos:R:3 pbc="T T T"
Cs 0.0000 0.0000 0.0000
Be 0.0000 0.0000 7.4582
Be 0.0000 0.0000 24.3456
Cr 0.0000 0.0000 15.9019
Br -1.0616 -1.7531 14.3991
Br -2.0490 0.0429 17.4047
Br 0.0000 0.0000 9.5965
Br -0.9874 1.7959 14.3991
Br 0.9874 -1.7959 17.4047
Br 0.0000 0.0000 22.2074
Br 2.0490 -0.0429 14.3991
Br 1.0616 1.7531 17.4047
```

Results
- formation energy (no corrections) (eV/atom) = -1.0166
- symmetry = R-3
- M_tot (μB per formula unit) = 3.0
- volume (Å³ per atom) = 31.2
- final energy (eV per atom) = -3.626



3.
Computed, not measured: V2CuMo after structural relaxation at the PBE level of DFT.

Cell and atoms, written as extended XYZ:
```
4
Lattice="0.0000 3.0220 3.0220 3.0220 0.0000 3.0220 3.0220 3.0220 0.0000" Properties=species:S:1:pos:R:3 pbc="T T T"
V 1.5110 1.5110 1.5110
V 4.5329 4.5329 4.5329
Cu 0.0000 0.0000 0.0000
Mo 3.0220 3.0220 3.0220
```

Results
- symmetry = Fm-3m
- M_tot (μB per formula unit) = 0.0
- volume (Å³ per atom) = 13.8
- ΔE to the lowest computed polymorph (kJ per mole of atoms) = 5.9
- energy relative to the elements (eV per atom) = 0.107
- final energy (eV per atom) = -8.184



4.
Computed, not measured: NaSr2SnS4 after structural relaxation at the PBE level of DFT.

Cell and atoms, written as extended XYZ:
```
8
Lattice="7.0540 0.0000 0.0000 0.0000 4.1915 0.0000 -2.2907 0.0000 6.8275" Properties=species:S:1:pos:R:3 pbc="T T T"
Na 0.0000 0.0000 0.0000
Sr 2.3817 0.0000 3.4138
Sr 3.5270 2.0957 0.0000
Sn -1.1453 2.0957 3.4138
S -0.0480 0.0000 5.0536
S 1.0619 2.0957 1.7893
S 3.7015 2.0957 5.0382
S 4.8114 0.0000 1.7739
```

Results
- formation energy (no corrections) (eV/atom) = -1.3407
- symmetry = P2/m
- M_tot (μB per formula unit) = 0.0
- volume (Å³ per atom) = 25.2
- final energy (eV per atom) = -4.490



5.
Computed, not measured: Li3PPd6 after structural relaxation at the PBE level of DFT.

Cell and atoms, written as extended XYZ:
```
20
Lattice="7.1713 0.0000 0.0000 0.0000 5.2212 0.0000 -7.0430 0.0000 7.6906" Properties=species:S:1:pos:R:3 pbc="T T T"
Li 0.0000 0.0000 0.0000
Li -3.5215 2.6106 3.8453
Li -3.4768 1.0789 5.6957
Li 0.0447 1.5317 1.8504
Li 0.0836 3.6896 5.8402
Li 3.6051 4.1423 1.9949
P 0.0641 0.0000 3.8453
P 3.5857 2.6106 0.0000
Pd -2.1513 0.5612 3.2470
Pd -5.6728 2.0494 7.0923
Pd -1.1338 3.1976 3.5269
Pd -4.6553 4.6342 7.3722
Pd -2.5278 3.7908 5.8405
Pd 0.9937 4.0410 1.9952
Pd -0.8654 1.1802 5.6954
Pd 2.6561 1.4304 1.8501
Pd 4.7836 0.5870 0.3184
Pd 1.2621 2.0236 4.1637
Pd 5.8011 3.1718 0.5983
Pd 2.2796 4.6600 4.4436
```

Results
- symmetry = P2_1/c
- M_tot (μB per formula unit) = 0.0
- volume (Å³ per atom) = 14.4
- ΔE to the lowest computed polymorph (kJ per mole of atoms) = 0.0
- energy relative to the elements (eV per atom) = -0.363
- final energy (eV per atom) = -4.593



6.
Computed, not measured: Si3Tc after structural relaxation at the PBE level of DFT.

Cell and atoms, written as extended XYZ:
```
4
Lattice="1.6523 -2.3250 0.0000 1.6523 2.3250 0.0000 0.0000 0.0000 7.4899" Properties=species:S:1:pos:R:3 pbc="T T T"
Si 0.0000 0.0000 0.0000
Si 1.6523 0.0000 1.9370
Si 1.6523 0.0000 5.5529
Tc 0.0000 0.0000 3.7449
```

Results
- formation energy (no corrections) (eV/atom) = 0.2310
- symmetry = Cmmm
- M_tot (μB per formula unit) = 0.0
- volume (Å³ per atom) = 14.4
- ΔE to the lowest computed polymorph (kJ per mole of atoms) = 40.0
- final energy (eV per atom) = -6.428



7.
Computed, not measured: CaLa3Sb after structural relaxation at the PBE level of DFT.

Cell and atoms, written as extended XYZ:
```
5
Lattice="5.6694 0.0000 0.0000 0.0000 5.6694 0.0000 0.0000 0.0000 5.6694" Properties=species:S:1:pos:R:3 pbc="T T T"
Ca 0.0000 0.0000 0.0000
La 0.0000 0.0000 2.8347
La 0.0000 2.8347 0.0000
La 2.8347 0.0000 0.0000
Sb 2.8347 2.8347 2.8347
```

Results
- formation energy (no corrections) (eV/atom) = 0.5155
- symmetry = Pm-3m
- M_tot (μB per formula unit) = 0.0
- volume (Å³ per atom) = 36.4
- ΔE to the lowest computed polymorph (kJ per mole of atoms) = 64.8
- final energy (eV per atom) = -3.666



8.
Computed, not measured: Ce2ZrRh after structural relaxation at the PBE level of DFT.

Cell and atoms, written as extended XYZ:
```
4
Lattice="3.5811 0.0000 0.0000 0.0000 3.5811 0.0000 0.0000 0.0000 7.4194" Properties=species:S:1:pos:R:3 pbc="T T T"
Ce 0.0000 0.0000 1.5404
Ce 0.0000 0.0000 5.8790
Zr 1.7905 1.7905 3.7097
Rh 1.7905 1.7905 0.0000
```

Results
- symmetry = P4/mmm
- M_tot (μB per formula unit) = 0.0
- volume (Å³ per atom) = 23.8
- ΔE to the lowest computed polymorph (kJ per mole of atoms) = 0.0
- energy relative to the elements (eV per atom) = -0.224
- final energy (eV per atom) = -7.166



9.
Computed, not measured: SbPbW2 after structural relaxation at the PBE level of DFT.

Cell and atoms, written as extended XYZ:
```
8
Lattice="-3.9263 3.9263 2.8737 3.9263 -3.9263 2.8737 3.9263 3.9263 -2.8737" Properties=species:S:1:pos:R:3 pbc="T T T"
Sb 0.0000 0.0000 0.0000
Sb 0.0000 3.9263 1.4368
Pb 3.9263 0.0000 1.4368
Pb 0.0000 0.0000 2.8737
W 5.8895 1.6923 -0.7184
W 1.6923 1.9632 0.7184
W -1.9632 2.2340 2.1553
W 2.2340 1.9632 3.5921
```

Results
- formation energy (no corrections) (eV/atom) = 1.5052
- symmetry = I-42d
- M_tot (μB per formula unit) = 0.8
- volume (Å³ per atom) = 22.2
- ΔE to the lowest computed polymorph (kJ per mole of atoms) = 108.8
- final energy (eV per atom) = -6.929



10.
Computed, not measured: LiTbS after structural relaxation at the PBE level of DFT.

Cell and atoms, written as extended XYZ:
```
6
Lattice="2.3258 1.3428 7.6096 -2.3258 1.3428 7.6096 0.0000 -2.6856 7.6096" Properties=species:S:1:pos:R:3 pbc="T T T"
Li 0.0000 0.0000 4.0557
Li 0.0000 0.0000 18.7731
Tb 0.0000 0.0000 9.2537
Tb 0.0000 0.0000 13.5750
S 0.0000 0.0000 6.4546
S 0.0000 0.0000 16.3742
```

Results
- formation energy (no corrections) (eV/atom) = -1.0848
- symmetry = R-3m
- M_tot (μB per formula unit) = 0.0
- volume (Å³ per atom) = 23.8
- final energy (eV per atom) = -4.642



11.
Computed, not measured: Nd2HoAg after structural relaxation at the PBE level of DFT.

Cell and atoms, written as extended XYZ:
```
4
Lattice="0.0000 3.8797 3.8797 3.8797 0.0000 3.8797 3.8797 3.8797 0.0000" Properties=species:S:1:pos:R:3 pbc="T T T"
Nd 1.9398 1.9398 1.9398
Nd 5.8195 5.8195 5.8195
Ho 0.0000 0.0000 0.0000
Ag 3.8797 3.8797 3.8797
```

Results
- symmetry = Fm-3m
- M_tot (μB per formula unit) = 0.0
- volume (Å³ per atom) = 29.2
- ΔE to the lowest computed polymorph (kJ per mole of atoms) = 16.4
- energy relative to the elements (eV per atom) = 0.058
- final energy (eV per atom) = -4.183



12.
Computed, not measured: PaBeOs2 after structural relaxation at the PBE level of DFT.

Cell and atoms, written as extended XYZ:
```
4
Lattice="2.6481 -3.3352 0.0000 2.6481 3.3352 0.0000 0.0000 0.0000 3.7447" Properties=species:S:1:pos:R:3 pbc="T T T"
Pa 0.0000 0.0000 0.0000
Be 2.6481 0.0000 0.0000
Os 2.6481 1.3053 1.8724
Os 2.6481 -1.3053 1.8724
```

Results
- symmetry = Cmmm
- M_tot (μB per formula unit) = 0.0
- volume (Å³ per atom) = 16.5
- ΔE to the lowest computed polymorph (kJ per mole of atoms) = 14.7
- energy relative to the elements (eV per atom) = 0.007
- final energy (eV per atom) = -8.913



Repeat the first record exactly.
Computed, not measured: Pa4Sb3Te4 after structural relaxation at the PBE level of DFT.

Cell and atoms, written as extended XYZ:
```
11
Lattice="-2.0087 4.4775 8.9310 2.0087 -4.4775 8.9310 2.0087 4.4775 -8.9310" Properties=species:S:1:pos:R:3 pbc="T T T"
Pa 0.0000 1.9694 0.0000
Pa 0.0000 0.0000 4.1883
Pa 0.0000 0.0000 13.6737
Pa 0.0000 6.9857 0.0000
Sb 2.0087 0.0000 1.6630
Sb 0.0000 0.0000 8.9310
Sb 0.0000 4.4775 7.2680
Te 2.0087 -1.6688 5.9548
Te 0.0000 2.8088 2.9762
Te 2.0087 1.6688 5.9548
Te 0.0000 6.1463 2.9762
```

Results
- formation energy (no corrections) (eV/atom) = -0.6266
- symmetry = Immm
- M_tot (μB per formula unit) = 2.3
- volume (Å³ per atom) = 29.2
- final energy (eV per atom) = -6.346



Question: Look up the final energy of the tenth one.
Answer: -4.642 eV per atom



Question: What is the volume in the eleventh record?
Answer: 29.2 Å³ per atom



Question: Among the records above, which one has the highest final energy?
Answer: CsBe2CrBr8